Entry 1:
## TeRuAuN2 (PBE-GGA)

Data for crystalline TeRuAuN2 at its relaxed geometry.

Unit cell a=3.844 b=3.844 c=5.888 alpha=90.00 beta=90.00 gamma=90.00
Fractional coordinates of all 5 atoms:
Te  0.000  0.000  0.000
Ru  0.000  0.000  0.500
Au  0.500  0.500  0.000
N  0.000  0.500  0.500
N  0.500  0.000  0.500

Summary:
- N(E_F): 2.0 states/eV/f.u.
- Space group: P4/mmm
- Energy above the lowest structure with this stoichiometry: 0.0000 eV per atom
- Energy: -5.73 eV/atom

---

Entry 2:
## TeRuAuN2 (PBE-GGA)

Data for crystalline TeRuAuN2 at its relaxed geometry.

Unit cell a=3.890 b=3.890 c=7.723 alpha=90.00 beta=90.00 gamma=90.00
Fractional coordinates of all 5 atoms:
Te  0.000  0.000  0.000
Ru  0.500  0.500  0.000
Au  0.000  0.000  0.500
N  0.000  0.500  0.500
N  0.500  0.000  0.500

Summary:
- N(E_F): 4.3 states/eV/f.u.
- Space group: P4/mmm
- Energy above the lowest structure with this stoichiometry: 1.2531 eV per atom
- Energy: -4.47 eV/atom

---

Entry 3:
## Au2SN (PBE-GGA)

Data for crystalline Au2SN at its relaxed geometry.

Unit cell a=7.079 b=7.079 c=7.079 alpha=139.89 beta=139.89 gamma=58.02
Fractional coordinates of all 8 atoms:
Au  0.035  0.625  0.910
Au  0.375  0.285  0.410
Au  0.715  0.125  0.090
Au  0.875  0.965  0.590
S  0.250  0.750  0.500
S  0.500  0.500  0.000
N  0.000  0.000  0.000
N  0.750  0.250  0.500

Summary:
- N(E_F): 3.5 states/eV/f.u.
- Space group: I-42d
- Energy above the lowest structure with this stoichiometry: 0.4059 eV per atom
- Energy: -3.82 eV/atom

---

Entry 4:
## AuS2N (PBE-GGA)

Data for crystalline AuS2N at its relaxed geometry.

Unit cell a=5.181 b=5.181 c=5.320 alpha=102.71 beta=102.71 gamma=41.03
Fractional coordinates of all 4 atoms:
Au  0.000  0.000  0.000
S  0.441  0.441  0.677
S  0.607  0.607  0.287
N  0.594  0.594  0.583

Summary:
- N(E_F): 0.6 states/eV/f.u.
- Space group: Cm
- Energy: -4.52 eV/atom

---

Entry 5:
## AuS2N (PBE-GGA)

Data for crystalline AuS2N at its relaxed geometry.

Unit cell a=4.139 b=4.372 c=5.787 alpha=100.37 beta=95.36 gamma=117.38
Fractional coordinates of all 4 atoms:
Au  0.000  0.000  0.000
S  0.380  0.630  0.066
S  0.790  0.996  0.422
N  0.929  0.845  0.591

Summary:
- Space group: P1
- Energy: -4.43 eV/atom

---

Entry 6:
## AuS2N (PBE-GGA)

Data for crystalline AuS2N at its relaxed geometry.

Unit cell a=7.325 b=7.325 c=7.325 alpha=25.96 beta=25.96 gamma=25.96
Fractional coordinates of all 4 atoms:
Au  0.000  0.000  0.000
S  0.110  0.110  0.110
S  0.890  0.890  0.890
N  0.500  0.500  0.500

Summary:
- N(E_F): 0.3 states/eV/f.u.
- Space group: R-3m
- Energy: -3.78 eV/atom

---

Number 1: spin magnetization 0.3 μB per formula unit. Number 2: spin magnetization 4.4 μB per formula unit. Number 3: spin magnetization 0.0 μB per formula unit. Number 4: spin magnetization 0.0 μB per formula unit. Number 5: spin magnetization 0.0 μB per formula unit. Number 6: spin magnetization 0.0 μB per formula unit.